# 1
! PBE-GGA BPd3Br, optimized geometry; values from VASP
! Space-group type   Pm-3m, No. 221
! Total DFT energy (no corrections)   -4.699 eV/atom
! E_form (uncorrected)   0.087 eV/atom
! Crystal system   cubic
&SYSTEM
  ibrav = 0, nat = 5, ntyp = 3
/
ATOMIC_SPECIES
B 10.81 B.upf
Pd 106.42 Pd.upf
Br 79.90 Br.upf
CELL_PARAMETERS angstrom
-3.293 -1.813 -2.055
0.221 -3.378 2.626
-2.731 1.912 2.690
ATOMIC_POSITIONS crystal
B 0.000 0.000 0.000
Pd 0.000 0.500 0.000
Pd 0.000 0.000 0.500
Pd 0.500 0.000 0.000
Br 0.500 0.500 0.500

***

# 2
! PBE-GGA Al2CoSb, optimized geometry; values from VASP
! Space-group type   Cmmm, No. 65
! Total DFT energy (no corrections)   -4.482 eV/atom
! E_form (uncorrected)   0.197 eV/atom
! Crystal system   orthorhombic
&SYSTEM
  ibrav = 0, nat = 4, ntyp = 3
/
ATOMIC_SPECIES
Sb 121.76 Sb.upf
Co 58.93 Co.upf
Al 26.98 Al.upf
CELL_PARAMETERS angstrom
-0.921 2.621 -3.735
-2.533 -3.904 0.105
-2.416 1.614 1.728
ATOMIC_POSITIONS crystal
Sb 0.000 0.500 0.500
Co 0.500 0.000 0.500
Al 0.000 0.000 0.000
Al 0.500 0.500 0.000

***

# 3
! PBE-GGA Ce2CoOs, optimized geometry; values from VASP
! Space-group type   P2_1/m, No. 11
! Total DFT energy (no corrections)   -7.765 eV/atom
! Crystal system   monoclinic
! Energy of formation from the pure elements   -0.2140 eV per atom
&SYSTEM
  ibrav = 0, nat = 8, ntyp = 3
/
ATOMIC_SPECIES
Co 58.93 Co.upf
Os 190.23 Os.upf
Ce 140.12 Ce.upf
CELL_PARAMETERS angstrom
-0.191 -0.493 -3.835
5.690 -1.549 -0.085
-4.148 -6.217 1.006
ATOMIC_POSITIONS crystal
Co 0.750 0.685 0.298
Co 0.250 0.315 0.702
Os 0.750 0.671 0.792
Os 0.250 0.329 0.208
Ce 0.250 0.772 0.563
Ce 0.750 0.225 0.927
Ce 0.750 0.228 0.437
Ce 0.250 0.775 0.073

***

# 4
! PBE-GGA ZrTl6Cl12, optimized geometry; values from VASP
! Space-group type   R-3, No. 148
! Total DFT energy (no corrections)   -3.438 eV/atom
! E_form (uncorrected)   -1.074 eV/atom
! Crystal system   trigonal
&SYSTEM
  ibrav = 0, nat = 19, ntyp = 3
/
ATOMIC_SPECIES
Tl 204.38 Tl.upf
Cl 35.45 Cl.upf
Zr 91.22 Zr.upf
CELL_PARAMETERS angstrom
8.619 1.471 -1.649
-2.230 8.454 -1.649
0.947 1.471 8.724
ATOMIC_POSITIONS crystal
Tl 0.934 0.725 0.517
Tl 0.066 0.275 0.483
Tl 0.483 0.066 0.275
Tl 0.725 0.517 0.934
Tl 0.517 0.934 0.725
Tl 0.275 0.483 0.066
Cl 0.030 0.726 0.943
Cl 0.726 0.943 0.030
Cl 0.159 0.573 0.351
Cl 0.841 0.427 0.649
Cl 0.351 0.159 0.573
Cl 0.943 0.030 0.726
Cl 0.427 0.649 0.841
Cl 0.970 0.274 0.057
Cl 0.057 0.970 0.274
Cl 0.573 0.351 0.159
Cl 0.649 0.841 0.427
Cl 0.274 0.057 0.970
Zr 0.000 0.000 0.000